# Nd3Hg5Pd2

Nd3Hg5Pd2 after structural relaxation (PBE, the Alexandria database).

Cell: 9.4778 9.4778 9.4778 Å, 99.74 93.57 140.22°
With the nearest neighbours (Å) after each atom.
Fractional positions:
Nd: 0.2293 0.6297 0.8590  1 Pd 3.16, 4 Hg 3.27-3.37
Nd: 0.2500 0.2500 0.0000  4 Pd 2.90, 2 Hg 3.09, 2 Nd 3.22
Nd: 0.2707 0.1297 0.4005  1 Pd 3.16, 4 Hg 3.27-3.37
Nd: 0.7293 0.8703 0.5995  1 Pd 3.16, 4 Hg 3.27-3.37
Nd: 0.7500 0.7500 0.0000  4 Pd 2.90, 2 Hg 3.09, 2 Nd 3.22
Nd: 0.7707 0.3703 0.1410  1 Pd 3.16, 4 Hg 3.27-3.37
Hg: 0.1540 0.3742 0.5282  1 Pd 2.68, 4 Hg 2.96-2.99
Hg: 0.2500 0.5033 0.2533  2 Pd 2.86, 3 Hg 2.96-3.01, 1 Nd 3.09
Hg: 0.2500 0.7500 0.5000  8 Hg 2.99-3.22
Hg: 0.2500 0.9967 0.7467  2 Pd 2.86, 3 Hg 2.96-3.01, 1 Nd 3.09
Hg: 0.3460 0.8742 0.2202  1 Pd 2.68, 4 Hg 2.96-2.99
Hg: 0.6540 0.1258 0.7798  1 Pd 2.68, 4 Hg 2.96-2.99
Hg: 0.7500 0.0033 0.2533  2 Pd 2.86, 3 Hg 2.96-3.01, 1 Nd 3.09
Hg: 0.7500 0.2500 0.5000  8 Hg 2.99-3.22
Hg: 0.7500 0.4967 0.7467  2 Pd 2.86, 3 Hg 2.96-3.01, 1 Nd 3.09
Hg: 0.8460 0.6258 0.4718  1 Pd 2.68, 4 Hg 2.96-2.99
Pd: 0.1398 0.8701 0.0099  3 Hg 2.68-2.86, 2 Nd 2.90
Pd: 0.3602 0.3701 0.7303  3 Hg 2.68-2.86, 2 Nd 2.90
Pd: 0.6398 0.6299 0.2697  3 Hg 2.68-2.86, 2 Nd 2.90
Pd: 0.8602 0.1299 0.9901  3 Hg 2.68-2.86, 2 Nd 2.90

Properties
The value obtained for the volume is 25.57 Å³ per atom. The density of states at the Fermi level is 0.6711 states/eV/atom. The value obtained for the formation energy is -3.37 eV/f.u. The total energy comes out at -2.957 eV/atom.